No. 1
# PmNd2PO8 | Alexandria via LeMat-Bulk | PBE | relaxed
# - Formation energy from raw total energies: -2.404 eV per atom
# - Energy: -7.351 eV per atom
# - N(E_F): 5.395 states/eV/cell
# - V: 12.6 A^3/atom
data_PmNd2PO8
_cell_length_a 5.2243
_cell_length_b 5.2243
_cell_length_c 6.4154
_cell_angle_alpha 90.00
_cell_angle_beta 90.00
_cell_angle_gamma 120.00
_space_group_name_H-M_alt 'P -3 m 1'
_space_group_IT_number 164
_space_group_name_Hall '-P 3 2"'
loop_
_atom_site_label
_atom_site_type_symbol
_atom_site_fract_x
_atom_site_fract_y
_atom_site_fract_z
Pm1 Pm 0.0000 0.0000 0.0000
Nd1 Nd 0.3333 0.6667 0.3626
P1 P 0.0000 0.0000 0.5000
O1 O 0.1527 0.3054 0.6578
O2 O 0.3333 0.6667 0.0267

No. 2
# PmNdP2O8 | Alexandria via LeMat-Bulk | PBE | relaxed
# - Formation energy from raw total energies: -2.862 eV per atom
# - Energy: -7.862 eV per atom
# - N(E_F): 0.000 states/eV/cell
# - V: 14.9 A^3/atom
data_PmNdP2O8
_cell_length_a 5.3122
_cell_length_b 5.3122
_cell_length_c 7.3035
_cell_angle_alpha 90.00
_cell_angle_beta 90.00
_cell_angle_gamma 120.00
_space_group_name_H-M_alt 'P -3 m 1'
_space_group_IT_number 164
_space_group_name_Hall '-P 3 2"'
loop_
_atom_site_label
_atom_site_type_symbol
_atom_site_fract_x
_atom_site_fract_y
_atom_site_fract_z
Pm1 Pm 0.0000 0.0000 0.0000
Nd1 Nd 0.0000 0.0000 0.5000
P1 P 0.3333 0.6667 0.3038
O1 O 0.1746 0.3492 0.2298
O2 O 0.3333 0.6667 0.5129

No. 3
# Pr2NdPO8 | Alexandria via LeMat-Bulk | PBE | relaxed
# - Formation energy from raw total energies: -2.395 eV per atom
# - Energy: -7.345 eV per atom
# - N(E_F): 4.817 states/eV/cell
# - V: 12.9 A^3/atom
data_Pr2NdPO8
_cell_length_a 5.2581
_cell_length_b 5.2581
_cell_length_c 6.4649
_cell_angle_alpha 90.00
_cell_angle_beta 90.00
_cell_angle_gamma 120.00
_space_group_name_H-M_alt 'P -3 m 1'
_space_group_IT_number 164
_space_group_name_Hall '-P 3 2"'
loop_
_atom_site_label
_atom_site_type_symbol
_atom_site_fract_x
_atom_site_fract_y
_atom_site_fract_z
Pr1 Pr 0.3333 0.6667 0.3618
Nd1 Nd 0.0000 0.0000 0.0000
P1 P 0.0000 0.0000 0.5000
O1 O 0.1520 0.3040 0.6568
O2 O 0.3333 0.6667 0.0258

No. 4
# PrNdPO | Alexandria via LeMat-Bulk | PBE | relaxed
# - Formation energy from raw total energies: -1.789 eV per atom
# - Energy: -6.767 eV per atom
# - N(E_F): 4.036 states/eV/cell
# - V: 22.7 A^3/atom
data_PrNdPO
_cell_length_a 4.447
_cell_length_b 4.447
_cell_length_c 9.165
_cell_angle_alpha 90.00
_cell_angle_beta 90.00
_cell_angle_gamma 90.00
_space_group_name_H-M_alt 'P 4/n m m'
_space_group_IT_number 129
loop_
_space_group_symop_operation_xyz
'x,y,z'
'-x,-y,-z'
'-y+1/2,x,z'
'y+1/2,-x,-z'
'-x+1/2,-y+1/2,z'
'x+1/2,y+1/2,-z'
'y,-x+1/2,z'
'-y,x+1/2,-z'
'x+1/2,-y,-z'
'-x+1/2,y,z'
'-y,-x,-z'
'y,x,z'
'-x,y+1/2,-z'
'x,-y+1/2,z'
'y+1/2,x+1/2,-z'
'-y+1/2,-x+1/2,z'
loop_
_atom_site_label
_atom_site_type_symbol
_atom_site_fract_x
_atom_site_fract_y
_atom_site_fract_z
Pr1 Pr 0.250 0.750 0.000
Nd1 Nd 0.250 0.250 0.396
P1 P 0.250 0.250 0.797
O1 O 0.250 0.750 0.500

No. 5
# NdP2PtO8 | Alexandria via LeMat-Bulk | PBE | relaxed
# - Formation energy from raw total energies: -2.002 eV per atom
# - Energy: -7.109 eV per atom
# - N(E_F): 3.659 states/eV/cell
# - V: 13.6 A^3/atom
data_NdP2PtO8
_cell_length_a 5.1600
_cell_length_b 5.1600
_cell_length_c 7.0531
_cell_angle_alpha 90.00
_cell_angle_beta 90.00
_cell_angle_gamma 120.00
_space_group_name_H-M_alt 'P -3 m 1'
_space_group_IT_number 164
_space_group_name_Hall '-P 3 2"'
loop_
_atom_site_label
_atom_site_type_symbol
_atom_site_fract_x
_atom_site_fract_y
_atom_site_fract_z
Nd1 Nd 0.0000 0.0000 0.0000
P1 P 0.3333 0.6667 0.2244
Pt1 Pt 0.0000 0.0000 0.5000
O1 O 0.1669 0.3338 0.2869
O2 O 0.3333 0.6667 0.0065

No. 6
# NdPuP2O8 | Alexandria via LeMat-Bulk | PBE | relaxed
# - Formation energy from raw total energies: -2.720 eV per atom
# - Energy: -8.519 eV per atom
# - N(E_F): 6.395 states/eV/cell
# - V: 15.0 A^3/atom
data_NdPuP2O8
_cell_length_a 5.3286
_cell_length_b 5.3286
_cell_length_c 7.2975
_cell_angle_alpha 90.00
_cell_angle_beta 90.00
_cell_angle_gamma 120.00
_space_group_name_H-M_alt 'P -3 m 1'
_space_group_IT_number 164
_space_group_name_Hall '-P 3 2"'
loop_
_atom_site_label
_atom_site_type_symbol
_atom_site_fract_x
_atom_site_fract_y
_atom_site_fract_z
Nd1 Nd 0.0000 0.0000 0.0000
Pu1 Pu 0.0000 0.0000 0.5000
P1 P 0.3333 0.6667 0.3081
O1 O 0.1751 0.3501 0.2332
O2 O 0.3333 0.6667 0.5169

What is the formula in the fifth record? NdP2PtO8

What is the V in the fifth record? 13.6 A^3/atom

The lowest formation energy from raw total energies belongs to which entry? PmNdP2O8